Density functional theory data (GGA-PBE) for a relaxed K3Al2Sb4 crystal.

```
data_K3Al2Sb4
_chemical_formula_sum 'K6 Al4 Sb8'
_cell_length_a 18.8659
_cell_length_b 4.3214
_cell_length_c 8.3783
_cell_angle_alpha 90.00
_cell_angle_beta 114.78
_cell_angle_gamma 90.00
_space_group_name_H-M_alt 'C 1 2/m 1'
_space_group_IT_number 12
_space_group_name_Hall '-C 2y'
loop_
_atom_site_label
_atom_site_type_symbol
_atom_site_fract_x
_atom_site_fract_y
_atom_site_fract_z
K1 K 0.0000 0.0000 0.0000
K2 K 0.1447 0.0000 0.7521
Al1 Al 0.1754 0.5000 0.4187
Sb1 Sb 0.0199 0.5000 0.3564
Sb2 Sb 0.2034 0.0000 0.2500
```

Offset from the most stable computed form   0.0 meV per atom
Crystal system   monoclinic
Raw formation energy   -0.35 eV/atom
DOS(E_F)   2.13 states/eV/f.u.
DFT total energy   -3.377 eV/atom